[1]
Computed, not measured: crystalline ErGePdAu at its relaxed geometry at the GGA-PBE level of DFT.

Calculated values
ρ in kg/m³: 11768
Formation enthalpy at 0 K in kcal/mol of atoms: -14.7
DOS(E_F) in states/eV/f.u.: 3.07
Volume in Å³ per atom: 19.166

a b c (Å): 4.768 4.768 4.768
angles (deg): 60.00 60.00 60.00
Element x y z (fractional)
Er: 0.000 0.000 0.000
Ge: 0.500 0.500 0.500
Pd: 0.250 0.250 0.250
Au: 0.750 0.750 0.750



[2]
Computed, not measured: crystalline PmErGeAu at its relaxed geometry at the GGA-PBE level of DFT.

Calculated values
ρ in kg/m³: 10144
Formation enthalpy at 0 K in kcal/mol of atoms: -16.8
Energy relative to the lowest polymorph listed for this composition in meV per atom: 95
DOS(E_F) in states/eV/f.u.: 3.90
Volume in Å³ per atom: 23.812

a b c (Å): 5.126 5.126 5.126
angles (deg): 60.00 60.00 60.00
Element x y z (fractional)
Pm: 0.000 0.000 0.000
Er: 0.500 0.500 0.500
Ge: 0.250 0.250 0.250
Au: 0.750 0.750 0.750